# PBE Sr3AcPa3N8, relaxed
data_Sr3AcPa3N8
_chemical_formula_sum 'Sr3 Ac1 Pa3 N8'
_cell_length_a 7.358
_cell_length_b 7.358
_cell_length_c 7.358
_cell_angle_alpha 59.96
_cell_angle_beta 59.96
_cell_angle_gamma 59.96
_symmetry_space_group_name_H-M 'P 1'
_symmetry_Int_Tables_number 1
_symmetry_space_group_name_Hall 'P 1'
loop_
_atom_site_label
_atom_site_fract_x
_atom_site_fract_y
_atom_site_fract_z
Sr1 0.000 0.500 0.500
Sr2 0.500 0.000 0.500
Sr3 0.500 0.500 0.000
Ac1 0.500 0.500 0.500
Pa1 0.000 0.000 0.500
Pa2 0.000 0.500 0.000
Pa3 0.500 0.000 0.000
N1 0.198 0.740 0.740
N2 0.239 0.239 0.239
N3 0.260 0.260 0.802
N4 0.260 0.802 0.260
N5 0.740 0.198 0.740
N6 0.740 0.740 0.198
N7 0.761 0.761 0.761
N8 0.802 0.260 0.260
# Magnetization   0.0 Bohr magnetons per cell
# Space group   R-3m, No. 166

# PBE SrAc3Pa2N6, relaxed
data_SrAc3Pa2N6
_chemical_formula_sum 'Sr1 Ac3 Pa2 N6'
_cell_length_a 8.427
_cell_length_b 8.427
_cell_length_c 7.523
_cell_angle_alpha 104.50
_cell_angle_beta 104.50
_cell_angle_gamma 25.38
_symmetry_space_group_name_H-M 'P 1'
_symmetry_Int_Tables_number 1
_symmetry_space_group_name_Hall 'P 1'
loop_
_atom_site_label
_atom_site_fract_x
_atom_site_fract_y
_atom_site_fract_z
Sr1 0.000 0.000 0.000
Ac1 0.000 0.000 0.500
Ac2 0.332 0.332 0.163
Ac3 0.668 0.668 0.837
Pa1 0.332 0.332 0.669
Pa2 0.668 0.668 0.331
N1 0.169 0.169 0.129
N2 0.180 0.180 0.551
N3 0.471 0.471 0.728
N4 0.529 0.529 0.272
N5 0.820 0.820 0.449
N6 0.831 0.831 0.871
# Magnetization   0.0 Bohr magnetons per cell
# Space group   C2/m, No. 12

Across the entries above, energy relative to the elements, uncorrected takes the values -1.174, -1.279 eV per atom, respectively.